Compound: La4PdSeCl2
Source: the Alexandria database
Functional: GGA-PBE
Structure: optimized geometry

a b c (Å): 7.2383 4.2312 7.5936
angles (deg): 90.00 109.61 90.00
Sites, in units of the cell vectors:
La 0.2394 0.0000 0.2390
La 0.2508 0.5000 0.7498
La 0.7492 0.5000 0.2502
La 0.7606 0.0000 0.7610
Pd 0.0000 0.5000 0.0000
Se 0.0000 0.0000 0.5000
Cl 0.5000 0.0000 0.0000
Cl 0.5000 0.5000 0.5000

uncorrected formation energy: -1474 meV/atom
SG: No. 10
total magnetization: 0.00 μB per formula unit